Material: CdHg2Os
Method: DFT, PBE
State: relaxed

Output
Total energy in eV per cell: -9.9
Density in Mg/m³: 15.15
Symmetry: No. 47

a = 2.906 Å, b = 4.292 Å, c = 6.183 Å
α = 90.00°, β = 90.00°, γ = 90.00°
Element x y z (fractional)
Hg  0.000  0.000  0.014
Os  0.500  0.500  0.250
Cd  0.500  0.500  0.750
Hg  0.000  0.000  0.486



Material: TaZnIn2
Method: DFT, PBE
State: relaxed

Output
Total energy in eV per cell: -17.5
Density in Mg/m³: 9.77
Symmetry: No. 123

a = 2.965 Å, b = 2.965 Å, c = 9.208 Å
α = 90.00°, β = 90.00°, γ = 90.02°
Element x y z (fractional)
In  0.000  0.000  0.495
Zn  0.500  0.500  0.750
Ta  0.500  0.500  0.250
In  0.000  0.000  0.005



Material: TbYFe10
Method: DFT, PBE
State: relaxed

Output
Total energy in eV per cell: -96.2
Density in Mg/m³: 7.83
Symmetry: No. 47

a = 3.945 Å, b = 5.013 Å, c = 8.649 Å
α = 90.00°, β = 90.00°, γ = 90.00°
Element x y z (fractional)
Fe  0.000  0.000  0.666
Fe  0.500  0.250  0.250
Fe  0.500  0.000  0.500
Fe  0.500  0.750  0.250
Fe  0.000  0.500  0.166
Tb  0.000  0.000  0.000
Fe  0.500  0.500  0.000
Fe  0.500  0.250  0.750
Y  0.000  0.500  0.500
Fe  0.000  0.000  0.334
Fe  0.000  0.500  0.834
Fe  0.500  0.750  0.750



Material: NaCa3Rh
Method: DFT, PBE
State: relaxed

Output
Total energy in eV per cell: -13.7
Density in Mg/m³: 1.45
Energy relative to the lowest polymorph listed for this composition in meV per atom: 398.0
Symmetry: No. 38

a = 3.834 Å, b = 10.274 Å, c = 10.274 Å
α = 135.79°, β = 90.00°, γ = 90.00°
Element x y z (fractional)
Rh  0.000  0.404  0.596
Ca  0.500  0.674  0.816
Ca  0.000  0.270  0.730
Na  0.500  0.096  0.904
Ca  0.500  0.184  0.326



Material: Tm4ZnIr3
Method: DFT, PBE
State: relaxed

Output
Total energy in eV per cell: -104.0
Density in Mg/m³: 13.77
Symmetry: No. 123

a = 4.883 Å, b = 6.669 Å, c = 9.764 Å
α = 90.00°, β = 90.00°, γ = 90.00°
Element x y z (fractional)
Ir  0.501  0.000  0.750
Tm  0.000  0.243  0.250
Ir  0.000  0.000  0.000
Tm  0.500  0.243  0.500
Tm  0.500  0.243  0.000
Zn  0.000  0.500  0.000
Ir  0.499  0.000  0.250
Tm  0.000  0.757  0.250
Tm  0.000  0.243  0.750
Ir  0.501  0.500  0.750
Ir  0.499  0.500  0.250
Tm  0.500  0.757  0.500
Tm  0.500  0.757  0.000
Zn  0.000  0.500  0.500
Ir  0.000  0.000  0.500
Tm  0.000  0.757  0.750



Material: Ce2CdHg12
Method: DFT, PBE
State: relaxed

Output
Total energy in eV per cell: -34.1
Density in Mg/m³: 11.25
Symmetry: No. 125

a = 7.030 Å, b = 7.030 Å, c = 16.718 Å
α = 90.00°, β = 90.00°, γ = 90.00°
Element x y z (fractional)
Hg  0.750  0.750  0.096
Hg  0.500  0.500  0.361
Cd  0.000  0.500  0.000
Hg  0.500  0.500  0.639
Hg  0.151  0.651  0.573
Hg  0.000  0.000  0.806
Hg  0.250  0.250  0.904
Hg  0.250  0.250  0.096
Ce  0.000  0.500  0.236
Hg  0.750  0.250  0.096
Hg  0.151  0.349  0.427
Hg  0.500  0.500  0.806
Hg  0.849  0.651  0.427
Hg  0.651  0.849  0.573
Hg  0.849  0.349  0.573
Hg  0.000  0.000  0.361
Hg  0.250  0.750  0.904
Hg  0.000  0.000  0.639
Hg  0.349  0.151  0.573
Hg  0.750  0.750  0.904
Hg  0.500  0.500  0.194
Ce  0.000  0.500  0.764
Cd  0.500  0.000  0.000
Hg  0.651  0.151  0.427
Hg  0.250  0.750  0.096
Ce  0.500  0.000  0.764
Ce  0.500  0.000  0.236
Hg  0.750  0.250  0.904
Hg  0.000  0.000  0.194
Hg  0.349  0.849  0.427



no.,formation enthalpy at 0 K (eV/f.u.)
1,2.87
2,1.06
3,-0.50
4,0.97
5,-6.28
6,-0.64